1.
Below is a relaxed KLiTa2Cd crystal, with properties calculated at the GGA-PBE level.

Lattice parameters (Å, degrees): 5.1752 6.1431 5.1752 90.00 90.00 90.00
Fractional positions:
Ta  0.0000  0.0000  0.5000
K  0.0000  0.5000  0.0000
Ta  0.5000  0.0000  0.0000
Li  0.5000  0.5000  0.5000
Cd  0.0000  0.0000  0.0000

Calculated values
Crystal system: tetragonal
E_form, eV/atom: 1.8748
Total magnetization, μB per formula unit: 2.01
Final energy, eV/atom: -3.65
Space-group type: P4/mmm, No. 123

=====

2.
Below is a relaxed TlFeBr2 crystal, with properties calculated at the GGA-PBE level.

Lattice parameters (Å, degrees): 6.5358 6.5358 6.2615 60.17 60.17 31.84
Fractional positions:
Br  0.8509  0.8509  0.6980
Fe  0.4483  0.4483  0.3704
Br  0.0261  0.0261  0.0407
Tl  0.1747  0.1747  0.3909

Calculated values
Crystal system: monoclinic
Total magnetization, μB per formula unit: 3.57
Final energy, eV/atom: -3.76
Space-group type: Cm, No. 8
Offset from the most stable computed form, meV/atom: 50
Formation energy from raw total energies, eV per atom: -0.215

=====

3.
Below is a relaxed Be2BN crystal, with properties calculated at the GGA-PBE level.

Lattice parameters (Å, degrees): 3.4815 3.4815 3.4815 60.00 60.00 60.00
Fractional positions:
B  0.0000  0.0000  0.0000
Be  0.7500  0.7500  0.7500
Be  0.2500  0.2500  0.2500
N  0.5000  0.5000  0.5000

Calculated values
Crystal system: cubic
Total magnetization, μB per formula unit: 0.00
Final energy, eV/atom: -4.53
Space-group type: Fm-3m, No. 225
Offset from the most stable computed form, meV/atom: 1730
Formation energy from raw total energies, eV per atom: 1.079

=====

4.
Below is a relaxed LaVS2Cl crystal, with properties calculated at the GGA-PBE level.

Lattice parameters (Å, degrees): 5.5393 5.5393 5.3673 90.00 90.00 90.00
Fractional positions:
La  0.0000  0.0000  0.0000
Cl  0.0000  0.0000  0.5000
S  0.5000  0.0000  0.0000
V  0.5000  0.5000  0.5000
S  0.0000  0.5000  0.0000

Calculated values
Crystal system: tetragonal
Total magnetization, μB per formula unit: 2.99
Final energy, eV/atom: -5.22
Space-group type: P4/mmm, No. 123
Offset from the most stable computed form, meV/atom: 826
Formation energy from raw total energies, eV per atom: -0.389

=====

5.
Below is a relaxed LaSiP3 crystal, with properties calculated at the GGA-PBE level.

Lattice parameters (Å, degrees): 5.7832 5.9804 25.5136 90.00 90.00 90.00
Fractional positions:
P  0.7472  0.0301  0.8767
La  0.2496  0.0255  0.9105
P  0.2472  0.9699  0.1233
P  0.2167  0.9077  0.2831
Si  0.3298  0.5520  0.2945
P  0.7167  0.0923  0.7169
P  0.7193  0.5209  0.2886
P  0.2470  0.0191  0.6278
P  0.2167  0.4077  0.2169
La  0.2487  0.9731  0.4010
P  0.4498  0.6810  0.0025
P  0.2472  0.4699  0.3767
P  0.7167  0.5923  0.7831
Si  0.8298  0.9480  0.7945
P  0.7472  0.5301  0.6233
La  0.7496  0.9745  0.0895
P  0.4498  0.1810  0.4975
Si  0.3266  0.6190  0.7908
Si  0.8266  0.8810  0.2908
P  0.0544  0.6824  0.0023
La  0.7487  0.5269  0.9010
P  0.7193  0.0209  0.2114
La  0.2487  0.4731  0.0990
La  0.2496  0.5255  0.5895
Si  0.3266  0.1190  0.7092
P  0.5544  0.8176  0.5023
Si  0.3298  0.0520  0.2055
P  0.7470  0.9809  0.3722
P  0.2193  0.4791  0.7114
P  0.2470  0.5191  0.8722
P  0.7470  0.4809  0.1278
P  0.9498  0.3190  0.9975
La  0.7496  0.4745  0.4105
Si  0.8266  0.3810  0.2092
P  0.0544  0.1824  0.4977
P  0.9498  0.8190  0.5025
La  0.7487  0.0269  0.5990
Si  0.8298  0.4480  0.7055
P  0.5544  0.3176  0.9977
P  0.2193  0.9791  0.7886

Calculated values
Crystal system: orthorhombic
Total magnetization, μB per formula unit: 0.00
Final energy, eV/atom: -6.05
Space-group type: Pna2_1, No. 33
Offset from the most stable computed form, meV/atom: 0
Formation energy from raw total energies, eV per atom: -0.738

=====

6.
Below is a relaxed Rb2TcSI6 crystal, with properties calculated at the GGA-PBE level.

Lattice parameters (Å, degrees): 8.6129 8.6129 8.2277 58.44 58.44 90.00
Fractional positions:
Rb  0.7500  0.2500  0.5000
I  0.2271  0.2271  0.0000
Rb  0.2500  0.7500  0.5000
I  0.7729  0.2271  0.0000
I  0.2271  0.7729  0.0000
I  0.7434  0.7434  0.5132
I  0.7729  0.7729  0.0000
Tc  0.0000  0.0000  0.0000
I  0.2566  0.2566  0.4868
S  0.5000  0.5000  0.0000

Calculated values
Crystal system: tetragonal
Total magnetization, μB per formula unit: 3.41
Final energy, eV/atom: -3.01
Space-group type: I4/mmm, No. 139
Formation energy from raw total energies, eV per atom: -0.439